3
Lattice="3.852 0.000 0.000 0.123 4.205 0.000 0.008 0.013 4.770" Properties=species:S:1:pos:R:3 comment="PBE-GGA SnGeAs, optimized geometry" dos_ef_per_ev_cell=0.92 e_tot_ev_per_atom=-4.3047 ef_ev_per_fu=0.36 magmom_total_mub_per_fu=0.00 space_group="P1, No. 1" pbc="T T T"
Sn 0.000 0.000 0.000
Ge 1.986 2.103 1.198
As 3.914 2.113 2.888